5
Lattice="4.503 0.000 0.000 0.000 4.503 0.000 0.000 0.000 4.875" Properties=species:S:1:pos:R:3 comment="KFe2SeF PBE with a Hubbard U optimized geometry" relative_energy_ev_per_atom=0.000 pbc="T T T"
K 0.000 0.000 0.000
Fe 0.000 2.252 2.437
Fe 2.252 0.000 2.437
Se 2.252 2.252 0.000
F 0.000 0.000 2.437